{"formula": "AgBiPbS3", "functional": "PBE", "state": "relaxed", "raw_formation_energy_ev_per_fu": -1.765, "final_energy_ha_per_atom": -0.1506, "magnetic_moment_mub_per_fu": 0.00, "sg": "P2_1/m, No. 11", "crystal_system": "monoclinic", "relative_energy_mev_per_atom": 10, "cell": [[8.506, 0.000, 0.000], [0.000, 4.039, 0.000], [-1.690, 0.000, 8.835]], "species": ["Ag", "Ag", "Bi", "Bi", "Pb", "Pb", "S", "S", "S", "S", "S", "S"], "frac_coords": [[0.087, 0.250, 0.093], [0.913, 0.750, 0.907], [0.326, 0.750, 0.350], [0.674, 0.250, 0.650], [0.196, 0.250, 0.753], [0.804, 0.750, 0.247], [0.110, 0.250, 0.381], [0.243, 0.750, 0.996], [0.425, 0.750, 0.655], [0.575, 0.250, 0.345], [0.757, 0.250, 0.004], [0.890, 0.750, 0.619]]}

{"formula": "AgBi3Pb3S8", "functional": "PBE", "state": "relaxed", "raw_formation_energy_ev_per_fu": -4.761, "final_energy_ha_per_atom": -0.1553, "magnetic_moment_mub_per_fu": 0.00, "sg": "R-3m, No. 166", "crystal_system": "trigonal", "cell": [[4.095, 2.364, 6.778], [-4.095, 2.364, 6.778], [0.000, -4.729, 6.778]], "species": ["Ag", "Bi", "Bi", "Bi", "Pb", "Pb", "Pb", "S", "S", "S", "S", "S", "S", "S", "S"], "frac_coords": [[0.000, 0.000, 0.000], [0.000, 0.500, 0.500], [0.500, 0.000, 0.500], [0.500, 0.500, 0.000], [0.000, 0.000, 0.500], [0.000, 0.500, 0.000], [0.500, 0.000, 0.000], [0.241, 0.241, 0.748], [0.241, 0.748, 0.241], [0.252, 0.759, 0.759], [0.254, 0.254, 0.254], [0.746, 0.746, 0.746], [0.748, 0.241, 0.241], [0.759, 0.252, 0.759], [0.759, 0.759, 0.252]]}

{"formula": "AgBi3PbS6", "functional": "PBE", "state": "relaxed", "raw_formation_energy_ev_per_fu": -3.647, "final_energy_ha_per_atom": -0.1557, "magnetic_moment_mub_per_fu": 0.00, "sg": "Cmc2_1, No. 36", "crystal_system": "orthorhombic", "cell": [[2.043, -6.950, 0.000], [2.043, 6.950, 0.000], [0.000, 0.000, 19.934]], "species": ["Ag", "Ag", "Bi", "Bi", "Bi", "Bi", "Bi", "Bi", "Pb", "Pb", "S", "S", "S", "S", "S", "S", "S", "S", "S", "S", "S", "S"], "frac_coords": [[0.047, 0.953, 0.500], [0.953, 0.047, 0.000], [0.100, 0.900, 0.714], [0.354, 0.646, 0.407], [0.371, 0.629, 0.812], [0.629, 0.371, 0.312], [0.646, 0.354, 0.907], [0.900, 0.100, 0.214], [0.184, 0.816, 0.103], [0.816, 0.184, 0.603], [0.015, 0.985, 0.364], [0.171, 0.829, 0.594], [0.257, 0.743, 0.256], [0.264, 0.736, 0.940], [0.433, 0.567, 0.522], [0.469, 0.531, 0.690], [0.531, 0.469, 0.190], [0.567, 0.433, 0.022], [0.736, 0.264, 0.440], [0.743, 0.257, 0.756], [0.829, 0.171, 0.094], [0.985, 0.015, 0.864]]}

{"formula": "AgBiPb2S4", "functional": "PBE", "state": "relaxed", "raw_formation_energy_ev_per_fu": -2.790, "final_energy_ha_per_atom": -0.1537, "magnetic_moment_mub_per_fu": 0.00, "sg": "P2/m, No. 10", "crystal_system": "monoclinic", "cell": [[7.086, 0.000, 0.000], [0.000, 4.152, 0.000], [-2.337, 0.000, 6.715]], "species": ["Ag", "Bi", "Pb", "Pb", "S", "S", "S", "S"], "frac_coords": [[0.000, 0.000, 0.000], [0.000, 0.500, 0.500], [0.500, 0.000, 0.500], [0.500, 0.500, 0.000], [0.231, 0.000, 0.749], [0.233, 0.500, 0.244], [0.767, 0.500, 0.756], [0.769, 0.000, 0.251]]}